VASP calculation (PBE) on crystalline PmDy2Tm3Sb6 at its relaxed geometry.

Cell: 9.7888 9.7888 8.7562 Å, 102.84 102.84 25.86°
Last column: nearest neighbours and their distance in Å.
Fractional positions:
Pm  0.0000  0.0000  0.0000  6 Sb 3.14-3.15
Dy  0.3328  0.3328  0.6666  6 Sb 3.10-3.11
Dy  0.6672  0.6672  0.3334  6 Sb 3.10-3.11
Tm  0.0000  0.0000  0.5000  6 Sb 3.05-3.08
Tm  0.3342  0.3342  0.1676  6 Sb 3.06-3.08
Tm  0.6658  0.6658  0.8324  6 Sb 3.06-3.08
Sb  0.1659  0.1659  0.5848  3 Tm 3.08, 3 Dy 3.10-3.11
Sb  0.1694  0.1694  0.0822  3 Tm 3.06-3.08, 2 Dy 3.11, 1 Pm 3.15
Sb  0.4997  0.4997  0.2571  3 Tm 3.05-3.08, 1 Dy 3.11, 2 Pm 3.14
Sb  0.5003  0.5003  0.7429  3 Tm 3.05-3.08, 1 Dy 3.11, 2 Pm 3.14
Sb  0.8306  0.8306  0.9178  3 Tm 3.06-3.08, 2 Dy 3.11, 1 Pm 3.15
Sb  0.8341  0.8341  0.4152  3 Tm 3.08, 3 Dy 3.10-3.11

Properties
**Formation energy (no corrections)**: -1.106 eV per atom
**SG**: C2/m (12)
**D(E_F)**: 1.9 states/eV/f.u.
**Mass density**: 8.0 Mg/m³
**Total energy**: -5.45 eV per atom